First-principles (GGA+U) data for an optimized crystal structure of CoPbSeO, as listed in OQMD via LeMat-Bulk.

Lattice parameters (Å, degrees): 7.354 7.152 6.461 90.00 90.00 90.00
Sites, in units of the cell vectors:
1 Co 0.103 0.155 0.000
2 Co 0.397 0.155 0.500
3 Co 0.603 0.845 0.000
4 Co 0.897 0.845 0.500
5 Pb 0.142 0.630 0.110
6 Pb 0.358 0.630 0.610
7 Pb 0.642 0.370 0.110
8 Pb 0.858 0.370 0.610
9 Se 0.086 0.108 0.377
10 Se 0.414 0.108 0.877
11 Se 0.586 0.892 0.377
12 Se 0.914 0.892 0.877
13 O 0.029 0.397 0.911
14 O 0.471 0.397 0.411
15 O 0.529 0.603 0.911
16 O 0.971 0.603 0.411

Results
Energy relative to the lowest polymorph listed for this composition   88 meV per atom
Size of the total moment   11.99 Bohr magnetons per cell
Energy   -4.934 eV per atom